# 1
First-principles (PBE) data for an optimized crystal structure of Pu7Rh3, as listed in the Alexandria database.

The structure in POSCAR format:
```
Pu7Rh3
1.0
8.120 -2.162 0.000
8.120 2.162 0.000
-1.888 0.000 5.796
Pu Rh
7 3
Direct
0.000 0.000 0.000 Pu
0.199 0.199 0.603 Pu
0.385 0.385 0.131 Pu
0.392 0.392 0.567 Pu
0.608 0.608 0.433 Pu
0.615 0.615 0.869 Pu
0.801 0.801 0.397 Pu
0.000 0.000 0.500 Rh
0.197 0.197 0.116 Rh
0.803 0.803 0.884 Rh
```

## Properties
Raw total energy = -12.404 eV per atom
Energy of formation from the pure elements = -16.02 kJ/mol of atoms
N(E_F) = 37.700 states/eV/cell

---

# 2
First-principles (PBE) data for an optimized crystal structure of Rb2BaOsCl8, as listed in the Alexandria database.

The structure in POSCAR format:
```
Rb2BaOsCl8
1.0
5.811 0.000 0.000
0.000 9.170 0.000
-2.114 0.000 7.583
Rb Ba Os Cl
2 1 1 8
Direct
0.000 0.239 0.000 Rb
0.000 0.761 0.000 Rb
0.500 0.500 0.500 Ba
0.500 0.000 0.500 Os
0.015 0.500 0.738 Cl
0.110 0.000 0.330 Cl
0.422 0.188 0.687 Cl
0.422 0.812 0.687 Cl
0.578 0.188 0.313 Cl
0.578 0.812 0.313 Cl
0.890 0.000 0.670 Cl
0.985 0.500 0.262 Cl
```

## Properties
Raw total energy = -3.899 eV per atom
Formation energy (no corrections) = -1.4102 eV/atom
N(E_F) = 4.281 states/eV/cell